(1)
Computed, not measured: crystalline Ho2Sc3Ag2 at its relaxed geometry at the PBE level of DFT.

Output
Formation enthalpy at 0 K ... -0.72 eV/f.u.

Cell and atoms, written as extended XYZ:
```
7
Lattice="4.807 0.000 0.000 -2.404 5.139 -0.279 0.000 -2.699 7.148" Properties=species:S:1:pos:R:3 pbc="T T T"
Ho 2.404 3.203 1.457
Ho 0.000 -0.763 5.412
Sc 2.404 0.166 3.159
Sc 2.404 0.000 0.000
Sc 0.000 2.275 3.709
Ag 2.404 1.369 5.638
Ag 0.000 1.072 1.230
```

(2)
Computed, not measured: crystalline SmAlCl at its relaxed geometry at the PBE level of DFT.

Output
E_form (uncorrected) ... -1.237 eV/atom

Cell and atoms, written as extended XYZ:
```
6
Lattice="4.237 -0.019 -0.035 -2.102 3.678 0.035 -2.031 -1.268 10.807" Properties=species:S:1:pos:R:3 pbc="T T T"
Cl 0.027 2.436 1.703
Cl 0.077 -0.045 9.103
Sm 2.153 1.197 3.238
Sm -2.049 1.195 7.569
Al 0.045 -0.026 5.180
Al 0.059 2.418 5.627
```

(3)
Computed, not measured: crystalline Pr2HgPt at its relaxed geometry at the PBE level of DFT.

Output
Formation enthalpy at 0 K ... -2.96 eV/f.u.
Excess energy over the best structure of this formula in the dataset ... 1 meV/atom

Cell and atoms, written as extended XYZ:
```
4
Lattice="-3.531 -1.481 1.971 3.870 -0.567 1.802 -0.731 6.597 3.647" Properties=species:S:1:pos:R:3 pbc="T T T"
Pt 1.935 -0.283 0.901
Hg 1.569 3.015 2.725
Pr -0.683 0.772 1.709
Pr 0.291 3.776 5.711
```

(4)
Computed, not measured: crystalline HoScNi at its relaxed geometry at the PBE level of DFT.

Output
Formation enthalpy at 0 K ... -0.82 eV/f.u.
Excess energy over the best structure of this formula in the dataset ... 56 meV/atom

Cell and atoms, written as extended XYZ:
```
6
Lattice="3.276 0.007 0.000 -0.012 6.647 -0.025 -1.636 -1.772 5.893" Properties=species:S:1:pos:R:3 pbc="T T T"
Sc 0.382 -0.848 5.339
Sc 0.372 5.907 2.228
Ni 2.014 4.389 3.682
Ni 2.016 0.680 3.886
Ho 0.378 2.539 2.195
Ho 0.376 2.520 5.372
```

(5)
Computed, not measured: crystalline Ho4TlSbC at its relaxed geometry at the PBE level of DFT.

Output
E_form (uncorrected) ... -0.615 eV/atom

Cell and atoms, written as extended XYZ:
```
14
Lattice="-1.295 5.040 4.315 -6.473 -0.004 -1.938 -1.037 -7.779 3.479" Properties=species:S:1:pos:R:3 pbc="T T T"
Tl -6.815 -1.582 5.098
Tl -1.990 -1.160 0.758
Ho -0.518 -3.889 1.740
Ho -4.402 -1.371 2.928
Ho -3.649 -1.799 6.302
Ho -1.166 -1.369 3.897
Ho -3.755 -3.891 0.771
Ho -2.577 1.547 2.715
Ho -6.228 -4.289 3.142
Ho -5.156 -0.943 -0.446
Sb -5.870 1.371 1.934
Sb -2.935 -4.113 3.923
C -3.104 -0.099 4.480
C -5.701 -2.643 1.377
```

| no. | magnetic moment (Bohr magnetons per cell) |
| --- | --- |
| 1 | 0.0 |
| 2 | 0.0 |
| 3 | 0.0 |
| 4 | 0.0 |
| 5 | 0.0 |